VASP calculation (GGA-PBEsol) on crystalline Cd3AgI at its relaxed geometry.

Properties
- space-group type = Pm-3m, No. 221
- ΔE_f (raw) (eV per atom) = 0.931

Cell: 5.797 5.797 5.797 Å, 90.00 90.00 90.00°
Element x y z (fractional)
1 I 0.000 0.000 0.000
2 Ag 0.500 0.500 0.500
3 Cd 0.000 0.000 0.500
4 Cd 0.500 0.000 0.000
5 Cd 0.000 0.500 0.000


VASP calculation (GGA-PBEsol) on crystalline KHfHg3 at its relaxed geometry.

Properties
- energy relative to the elements (eV per atom) = 1.21
- space-group type = Pm-3m, No. 221

Cell: 5.389 5.389 5.389 Å, 90.00 90.00 90.00°
Site moments in Bohr magnetons follow the coordinates.
Element x y z (fractional)
1 Hg 0.000 0.500 0.000  0.01
2 Hg 0.000 0.000 0.500  0.01
3 Hg 0.500 0.000 0.000  0.01
4 K 0.000 0.000 0.000  0.00
5 Hf 0.500 0.500 0.500  0.63


VASP calculation (GGA-PBEsol) on crystalline Cr3PtAu at its relaxed geometry.

Properties
- energy relative to the elements (eV per atom) = 1.37
- space-group type = Pm-3m, No. 221

Cell: 4.727 4.727 4.727 Å, 90.00 90.00 90.00°
Site moments in Bohr magnetons follow the coordinates.
Element x y z (fractional)
1 Pt 0.000 0.000 0.000  0.12
2 Cr 0.000 0.500 0.000  3.44
3 Cr 0.500 0.000 0.000  3.44
4 Cr 0.000 0.000 0.500  3.44
5 Au 0.500 0.500 0.500  0.03


VASP calculation (GGA-PBEsol) on crystalline Ta2NiW at its relaxed geometry.

Properties
- energy relative to the elements (eV per atom) = 0.08
- space-group type = P2/m, No. 10

Cell: 2.695 4.372 5.320 Å, 90.00 99.28 90.00°
Element x y z (fractional)
1 Ni 0.000 0.500 0.500
2 Ta 0.749 0.000 0.750
3 Ta 0.251 0.000 0.250
4 W 0.500 0.500 0.000


VASP calculation (GGA-PBEsol) on crystalline Zr2ReTc at its relaxed geometry.

Properties
- energy relative to the elements (eV per atom) = -0.08
- space-group type = Pmmm, No. 47

Cell: 3.228 4.422 4.778 Å, 90.00 90.00 90.00°
Element x y z (fractional)
1 Zr 0.000 0.000 0.000
2 Zr 0.500 0.000 0.500
3 Re 0.500 0.500 0.000
4 Tc 0.000 0.500 0.500


VASP calculation (GGA-PBEsol) on crystalline Hf2AgSnSe at its relaxed geometry.

Properties
- space-group type = P4/mmm, No. 123
- ΔE_f (raw) (eV per atom) = 0.970

Cell: 4.859 5.292 5.292 Å, 90.00 90.00 90.00°
Site moments in Bohr magnetons follow the coordinates.
Element x y z (fractional)
1 Ag 0.500 0.000 0.000  0.00
2 Hf 0.000 0.000 0.500  0.28
3 Hf 0.000 0.500 0.000  0.28
4 Se 0.500 0.500 0.500  -0.02
5 Sn 0.000 0.000 0.000  0.03


Values for magnetic moment, μB/atom, ordered as above
0.000, 0.227, 2.284, 0.000, 0.000, 0.192